Record 1
Density functional theory data (PBE) for a geometry-optimized Fe2AsIr structure.

* calculated formation energy: 0.38 eV per formula unit
* VASP energy: -7.51 eV/atom

a b c (Å): 3.105 4.156 4.199
angles (deg): 90.00 90.00 90.00
Fractional coordinates of all 4 atoms:
1 Fe 0.000 0.000 0.000
2 Fe 0.500 0.000 0.500
3 As 0.000 0.500 0.500
4 Ir 0.500 0.500 0.000

***

Record 2
Density functional theory data (PBE) for a geometry-optimized KSn2B structure.

* calculated formation energy: 2.05 eV per formula unit
* VASP energy: -3.43 eV/atom

a b c (Å): 7.094 7.094 7.094
angles (deg): 119.60 119.60 90.70
Fractional coordinates of all 8 atoms:
1 K 0.000 0.000 0.000
2 K 0.750 0.250 0.500
3 Sn 0.270 0.625 0.145
4 Sn 0.375 0.520 0.645
5 Sn 0.480 0.125 0.855
6 Sn 0.875 0.730 0.355
7 B 0.250 0.750 0.500
8 B 0.500 0.500 0.000

***

Record 3
Density functional theory data (PBE) for a geometry-optimized AgSI2 structure.

* formation energy (no corrections): 0.381 eV/atom
* relative energy among the computed polymorphs: 407 meV per atom
* VASP energy: -2.14 eV/atom

a b c (Å): 9.249 9.249 9.249
angles (deg): 143.75 143.75 52.21
Fractional coordinates of all 8 atoms:
1 Ag 0.000 0.000 0.000
2 Ag 0.750 0.250 0.500
3 S 0.250 0.750 0.500
4 S 0.500 0.500 0.000
5 I 0.149 0.625 0.024
6 I 0.375 0.399 0.524
7 I 0.601 0.125 0.976
8 I 0.875 0.851 0.476

***

Record 4
Density functional theory data (PBE) for a geometry-optimized Ba5Sr4Ac structure.

* relative energy among the computed polymorphs: 0 meV per atom
* calculated formation energy: 0.35 eV per formula unit
* VASP energy: -2.01 eV/atom

a b c (Å): 4.284 4.284 31.365
angles (deg): 90.00 90.00 90.00
Fractional coordinates of all 10 atoms:
1 Ba 0.000 0.000 0.000
2 Ba 0.000 0.000 0.205
3 Ba 0.000 0.000 0.408
4 Ba 0.000 0.000 0.592
5 Ba 0.000 0.000 0.795
6 Sr 0.500 0.500 0.102
7 Sr 0.500 0.500 0.307
8 Sr 0.500 0.500 0.693
9 Sr 0.500 0.500 0.898
10 Ac 0.500 0.500 0.500

***

Record 5
Density functional theory data (PBE) for a geometry-optimized BaGaBrF4 structure.

* formation energy (no corrections): -2.795 eV/atom
* VASP energy: -4.81 eV/atom

a b c (Å): 7.041 7.041 7.982
angles (deg): 101.54 101.54 57.27
Fractional coordinates of all 14 atoms:
1 Ba 0.170 0.170 0.325
2 Ba 0.830 0.830 0.675
3 Ga 0.191 0.191 0.789
4 Ga 0.809 0.809 0.211
5 Br 0.390 0.390 0.792
6 Br 0.610 0.610 0.208
7 F 0.039 0.039 0.784
8 F 0.042 0.616 0.370
9 F 0.221 0.221 0.027
10 F 0.384 0.958 0.630
11 F 0.616 0.042 0.370
12 F 0.779 0.779 0.973
13 F 0.958 0.384 0.630
14 F 0.961 0.961 0.216

***

Record 6
Density functional theory data (PBE) for a geometry-optimized InRePS2 structure.

* formation energy (no corrections): 1.656 eV/atom
* relative energy among the computed polymorphs: 1397 meV per atom
* VASP energy: -4.11 eV/atom

a b c (Å): 4.932 4.932 5.035
angles (deg): 90.00 90.00 90.00
Fractional coordinates of all 5 atoms:
1 In 0.000 0.000 0.000
2 Re 0.500 0.500 0.500
3 P 0.000 0.000 0.500
4 S 0.000 0.500 0.000
5 S 0.500 0.000 0.000

***

Record 7
Density functional theory data (PBE) for a geometry-optimized LaSm4Co structure.

* relative energy among the computed polymorphs: 7 meV per atom
* calculated formation energy: 0.09 eV per formula unit
* VASP energy: -5.14 eV/atom

a b c (Å): 3.670 6.314 8.531
angles (deg): 71.62 89.62 73.26
Fractional coordinates of all 6 atoms:
1 La 0.000 0.000 0.000
2 Sm 0.318 0.351 0.199
3 Sm 0.379 0.243 0.616
4 Sm 0.621 0.757 0.384
5 Sm 0.682 0.649 0.801
6 Co 0.000 0.000 0.500

***

Record 8
Density functional theory data (PBE) for a geometry-optimized Ba2NiHg structure.

* calculated formation energy: -0.50 eV per formula unit
* VASP energy: -2.61 eV/atom

a b c (Å): 3.985 3.985 8.158
angles (deg): 90.00 90.00 90.09
Fractional coordinates of all 4 atoms:
1 Ba 0.000 0.000 0.226
2 Ba 0.000 0.000 0.774
3 Ni 0.500 0.500 0.000
4 Hg 0.500 0.500 0.500

***

Which of these has the lowest VASP energy?
Fe2AsIr

***

Which formula does entry 6 have?
InRePS2

***

The highest VASP energy belongs to which entry?
Ba5Sr4Ac

***

Look up the VASP energy of the seventh one.
-5.14 eV/atom